Entry 1:
Computed, not measured: a geometry-optimized PdPbIN2 structure at the GGA-PBEsol level of DFT.

The space group is P4/mmm (No. 123) and the conventional cell measures 4.262, 4.262 and 5.329 Å, with angles of 90.00, 90.00 and 90.00 degrees. The distinct sites, in fractional coordinates, are Pd at (0.000, 0.000, 0.000), Pb at (0.500, 0.500, 0.500), I at (0.000, 0.000, 0.500) and N at (0.000, 0.500, 0.000).

The value obtained for the density of states at the Fermi level is 2.483 states/eV per cell. The calculation puts the formation energy (no corrections) at 1.31 eV/atom. For the final energy, the calculation gives -4.44 eV/atom.

***

Entry 2:
Computed, not measured: a geometry-optimized PdPb2IN structure at the GGA-PBEsol level of DFT.

The space group is P4/mmm (No. 123) and the conventional cell measures 5.849, 5.849 and 3.961 Å, with angles of 90.00, 90.00 and 90.00 degrees. The distinct sites, in fractional coordinates, are Pd at (0.000, 0.000, 0.000), Pb at (0.000, 0.500, 0.500), I at (0.500, 0.500, 0.500) and N at (0.500, 0.500, 0.000).

The value obtained for the density of states at the Fermi level is 3.051 states/eV per cell. The calculation puts the formation energy (no corrections) at 1.27 eV/atom. For the final energy, the calculation gives -3.58 eV/atom.

***

Entry 3:
Computed, not measured: a geometry-optimized RbPbIN2 structure at the GGA-PBEsol level of DFT.

The space group is P4/mmm (No. 123) and the conventional cell measures 4.699, 4.699 and 6.435 Å, with angles of 90.00, 90.00 and 90.00 degrees. The distinct sites, in fractional coordinates, are Rb at (0.000, 0.000, 0.000), Pb at (0.500, 0.500, 0.500), I at (0.500, 0.500, 0.000) and N at (0.000, 0.500, 0.500).

The value obtained for the density of states at the Fermi level is 2.808 states/eV per cell. The calculation puts the formation energy (no corrections) at 0.95 eV/atom. For the final energy, the calculation gives -3.82 eV/atom.

***

Entry 4:
Computed, not measured: a geometry-optimized Sb2PbIN structure at the GGA-PBEsol level of DFT.

The space group is P4/mmm (No. 123) and the conventional cell measures 4.854, 4.854 and 4.945 Å, with angles of 90.00, 90.00 and 90.00 degrees. The distinct sites, in fractional coordinates, are Sb at (0.000, 0.500, 0.000), Pb at (0.000, 0.000, 0.500), I at (0.500, 0.500, 0.500) and N at (0.500, 0.500, 0.000).

The value obtained for the density of states at the Fermi level is 2.735 states/eV per cell. The calculation puts the formation energy (no corrections) at 0.54 eV/atom. For the final energy, the calculation gives -4.14 eV/atom.

***

Entry 5:
Computed, not measured: a geometry-optimized TiPbIN2 structure at the GGA-PBEsol level of DFT.

The space group is P4/mmm (No. 123) and the conventional cell measures 4.148, 4.148 and 5.402 Å, with angles of 90.00, 90.00 and 90.00 degrees. The distinct sites, in fractional coordinates, are Ti at (0.000, 0.000, 0.000), Pb at (0.500, 0.500, 0.500), I at (0.000, 0.000, 0.500) and N at (0.000, 0.500, 0.000).

The value obtained for the density of states at the Fermi level is 1.781 states/eV per cell. The calculation puts the formation energy (no corrections) at 0.35 eV/atom. For the final energy, the calculation gives -5.87 eV/atom.

***

Entry 6:
Computed, not measured: a geometry-optimized TlPbIN2 structure at the GGA-PBEsol level of DFT.

The space group is P4/mmm (No. 123) and the conventional cell measures 4.595, 4.595 and 6.367 Å, with angles of 90.00, 90.00 and 90.00 degrees. The distinct sites, in fractional coordinates, are Tl at (0.000, 0.000, 0.000), Pb at (0.500, 0.500, 0.500), I at (0.500, 0.500, 0.000) and N at (0.000, 0.500, 0.500).

The value obtained for the density of states at the Fermi level is 2.342 states/eV per cell. The calculation puts the formation energy (no corrections) at 1.30 eV/atom. For the final energy, the calculation gives -3.79 eV/atom.

***

Entry 7:
Computed, not measured: a geometry-optimized ZnPbIN2 structure at the GGA-PBEsol level of DFT.

The space group is P4/mmm (No. 123) and the conventional cell measures 4.287, 4.287 and 5.404 Å, with angles of 90.00, 90.00 and 90.00 degrees. The distinct sites, in fractional coordinates, are Zn at (0.000, 0.000, 0.000), Pb at (0.500, 0.500, 0.500), I at (0.000, 0.000, 0.500) and N at (0.000, 0.500, 0.000).

The value obtained for the density of states at the Fermi level is 2.367 states/eV per cell. The calculation puts the formation energy (no corrections) at 1.34 eV/atom. For the final energy, the calculation gives -3.54 eV/atom.

***

Entry 8:
Computed, not measured: a geometry-optimized PdPtI2N structure at the GGA-PBEsol level of DFT.

The space group is P4/mmm (No. 123) and the conventional cell measures 5.442, 5.442 and 3.619 Å, with angles of 90.00, 90.00 and 90.00 degrees. The distinct sites, in fractional coordinates, are Pd at (0.000, 0.000, 0.000), Pt at (0.500, 0.500, 0.500), I at (0.000, 0.500, 0.000) and N at (0.000, 0.000, 0.500).

The value obtained for the density of states at the Fermi level is 5.258 states/eV per cell. The calculation puts the formation energy (no corrections) at 1.00 eV/atom. For the final energy, the calculation gives -4.00 eV/atom.